Record 1
This record from the Alexandria database describes NaSbTe2 at its PBEsol-relaxed geometry. The functional is SCAN.

Lattice parameters (Å, degrees): 4.3517 4.3517 7.9454 74.11 74.11 60.00
Atoms (fractional coordinates):
Sb (0.5000, 0.5000, 0.5000)
Te (0.7562, 0.7562, 0.7313)
Te (0.2438, 0.2438, 0.2687)
Na (0.0000, 0.0000, 0.0000)

Values from the calculation:
Size of the total moment in μB/f.u.: 0.00
Calculated density in kg/m³: 5372
E_form (uncorrected) in eV/atom: -0.493

---

Record 2
This record from the Alexandria database describes CuNiBi3 at its PBEsol-relaxed geometry. The functional is SCAN.

Lattice parameters (Å, degrees): 5.0828 5.0828 5.0828 90.00 90.00 90.00
Atoms (fractional coordinates):
Ni (0.5000, 0.5000, 0.5000)
Bi (0.0000, 0.5000, 0.0000)
Bi (0.0000, 0.0000, 0.5000)
Bi (0.5000, 0.0000, 0.0000)
Cu (0.0000, 0.0000, 0.0000)

Values from the calculation:
N(E_F) in states/eV/f.u.: 2.86
Size of the total moment in μB/f.u.: 0.00
Calculated density in kg/m³: 9474
E_form in eV per atom: 0.95

---

Record 3
This record from the Alexandria database describes Hg3Ir at its PBEsol-relaxed geometry. The functional is SCAN.

Lattice parameters (Å, degrees): 5.1932 5.1932 5.1932 90.00 90.00 90.00
Atoms (fractional coordinates):
Hg (0.0000, 0.0000, 0.5000)
Hg (0.0000, 0.5000, 0.0000)
Hg (0.5000, 0.0000, 0.0000)
Ir (0.0000, 0.0000, 0.0000)

Values from the calculation:
N(E_F) in states/eV/f.u.: 1.56
Size of the total moment in μB/f.u.: 0.00
Calculated density in kg/m³: 9413
E_form in eV per atom: 0.42
Polymorph energy (0 for the lowest one) in eV per atom: 0.0000

---

Record 4
This record from the Alexandria database describes MnPN2 at its PBEsol-relaxed geometry. The functional is SCAN.

Lattice parameters (Å, degrees): 2.7883 2.7883 5.8181 76.14 76.14 60.00
Atoms (fractional coordinates):
P (0.0000, 0.0000, 0.0000)
Mn (0.5000, 0.5000, 0.5000)
N (0.8982, 0.8982, 0.3055)
N (0.1018, 0.1018, 0.6945)

Values from the calculation:
N(E_F) in states/eV/f.u.: 0.85
Size of the total moment in μB/f.u.: 2.77
Calculated density in kg/m³: 5026
E_form (uncorrected) in eV/atom: -0.175

---

Record 5
This record from the Alexandria database describes BMoW2Br at its PBEsol-relaxed geometry. The functional is SCAN.

Lattice parameters (Å, degrees): 3.7009 4.7025 4.7025 90.00 90.00 90.00
Atoms (fractional coordinates):
Mo (0.5000, 0.5000, 0.5000)
B (0.5000, 0.0000, 0.0000)
Br (0.0000, 0.0000, 0.0000)
W (0.0000, 0.0000, 0.5000)
W (0.0000, 0.5000, 0.0000)

Values from the calculation:
N(E_F) in states/eV/f.u.: 5.95
Size of the total moment in μB/f.u.: 0.00
Calculated density in kg/m³: 11247
E_form (uncorrected) in eV/atom: 2.736

---

Record 6
This record from the Alexandria database describes MnCu2As at its PBEsol-relaxed geometry. The functional is SCAN.

Lattice parameters (Å, degrees): 3.6010 3.6010 3.9215 90.00 90.00 90.00
Atoms (fractional coordinates):
As (0.0000, 0.0000, 0.5000)
Cu (0.0000, 0.5000, 0.0000)
Cu (0.5000, 0.0000, 0.0000)
Mn (0.5000, 0.5000, 0.5000)

Values from the calculation:
N(E_F) in states/eV/f.u.: 1.49
Size of the total moment in μB/f.u.: 3.75
Calculated density in kg/m³: 8391
E_form in eV per atom: -0.14

---

Record 7
This record from the Alexandria database describes CrPt2 at its PBEsol-relaxed geometry. The functional is SCAN.

Lattice parameters (Å, degrees): 2.7606 5.1904 6.3776 104.86 90.00 105.42
Atoms (fractional coordinates):
Cr (0.0064, 0.0128, 0.0161)
Cr (0.6614, 0.3228, 0.3233)
Pt (0.3879, 0.7759, 0.2712)
Pt (0.0597, 0.1195, 0.5985)
Pt (0.3387, 0.6775, 0.6759)
Pt (0.7124, 0.4249, 0.9483)

Values from the calculation:
N(E_F) in states/eV/f.u.: 2.83
Size of the total moment in μB/f.u.: 0.12
Calculated density in kg/m³: 17292
E_form in eV per atom: -0.27

---

Record 8
This record from the Alexandria database describes NaBeBiPd2 at its PBEsol-relaxed geometry. The functional is SCAN.

Lattice parameters (Å, degrees): 5.0374 5.0374 5.4136 90.00 90.00 90.00
Atoms (fractional coordinates):
Na (0.0000, 0.0000, 0.5000)
Bi (0.0000, 0.0000, 0.0000)
Pd (0.0000, 0.5000, 0.0000)
Pd (0.5000, 0.0000, 0.0000)
Be (0.5000, 0.5000, 0.5000)

Values from the calculation:
N(E_F) in states/eV/f.u.: 4.27
Size of the total moment in μB/f.u.: 0.00
Calculated density in kg/m³: 5486
E_form in eV per atom: 1.00

---

Record 9
This record from the Alexandria database describes LaCu2Ir at its PBEsol-relaxed geometry. The functional is SCAN.

Lattice parameters (Å, degrees): 4.0277 4.0277 4.9843 113.83 113.83 90.00
Atoms (fractional coordinates):
Cu (0.7500, 0.2500, 0.5000)
Cu (0.2500, 0.7500, 0.5000)
Ir (0.5000, 0.5000, 0.0000)
La (0.0000, 0.0000, 0.0000)

Values from the calculation:
N(E_F) in states/eV/f.u.: 0.97
Size of the total moment in μB/f.u.: 0.00
Calculated density in kg/m³: 11467
E_form in eV per atom: -0.15
Polymorph energy (0 for the lowest one) in eV per atom: 0.1217

---

Record 10
This record from the Alexandria database describes LiIn2Ni at its PBEsol-relaxed geometry. The functional is SCAN.

Lattice parameters (Å, degrees): 3.2439 4.3966 5.1753 108.90 108.26 90.00
Atoms (fractional coordinates):
In (0.9785, 0.9475, 0.9571)
In (0.7522, 0.2757, 0.5044)
Li (0.5207, 0.5002, 0.0414)
Ni (0.2485, 0.7766, 0.4970)

Values from the calculation:
N(E_F) in states/eV/f.u.: 1.26
Size of the total moment in μB/f.u.: 0.00
Calculated density in kg/m³: 7441
E_form in eV per atom: -0.11

---

Record 11
This record from the Alexandria database describes La6Zn7 at its PBEsol-relaxed geometry. The functional is SCAN.

Lattice parameters (Å, degrees): 5.7068 5.7068 10.9860 74.95 74.95 60.00
Atoms (fractional coordinates):
La (0.0556, 0.0556, 0.8331)
La (0.9444, 0.9444, 0.1669)
La (0.1547, 0.1547, 0.5359)
La (0.8453, 0.8453, 0.4641)
La (0.3293, 0.3293, 0.0120)
La (0.6707, 0.6707, 0.9880)
Zn (0.5880, 0.1121, 0.7120)
Zn (0.1121, 0.5880, 0.7120)
Zn (0.5880, 0.5880, 0.7120)
Zn (0.4120, 0.8879, 0.2880)
Zn (0.4120, 0.4120, 0.2880)
Zn (0.8879, 0.4120, 0.2880)
Zn (0.5000, 0.5000, 0.5000)

Values from the calculation:
N(E_F) in states/eV/f.u.: 10.06
Size of the total moment in μB/f.u.: 0.00
Calculated density in kg/m³: 7254
E_form in eV per atom: -0.28

---

Please write out number 8 again, unchanged.
This record from the Alexandria database describes NaBeBiPd2 at its PBEsol-relaxed geometry. The functional is SCAN.

Lattice parameters (Å, degrees): 5.0374 5.0374 5.4136 90.00 90.00 90.00
Atoms (fractional coordinates):
Na (0.0000, 0.0000, 0.5000)
Bi (0.0000, 0.0000, 0.0000)
Pd (0.0000, 0.5000, 0.0000)
Pd (0.5000, 0.0000, 0.0000)
Be (0.5000, 0.5000, 0.5000)

Values from the calculation:
N(E_F) in states/eV/f.u.: 4.27
Size of the total moment in μB/f.u.: 0.00
Calculated density in kg/m³: 5486
E_form in eV per atom: 1.00